# 1
First-principles (PBE) data for a geometry-optimized Na3Te2Se4 structure, as listed in Alexandria.

The total DFT energy (no corrections) is -28.9 eV/f.u. As for the uncorrected formation energy: -522 meV per atom.

The structure belongs to space group C2/c (No. 15); the cell edges are 16.367, 8.651 and 9.167 Å and the angles 90.00°, 117.64° and 90.00°. The inequivalent atoms are Na at (0.000, 0.133, 0.250), Na at (0.118, 0.371, 0.915), Te at (0.203, 0.188, 0.686), Se at (0.054, 0.351, 0.539) and Se at (0.182, 0.032, 0.913).

# 2
First-principles (PBE) data for a geometry-optimized Na3TeSe3 structure, as listed in Alexandria.

The total DFT energy (no corrections) is -21.9 eV/f.u. As for the uncorrected formation energy: -627 meV per atom. The energy above the most stable polymorph in this dataset comes out at 0 meV/atom.

The structure belongs to space group C2/m (No. 12); the cell edges are 9.051, 12.615 and 7.270 Å and the angles 90.00°, 97.90° and 90.00°. The inequivalent atoms are Na at (0.000, 0.186, 0.000), Na at (0.000, 0.194, 0.500), Na at (0.186, 0.500, 0.970), Te at (0.201, 0.500, 0.462), Se at (0.076, 0.000, 0.238) and Se at (0.188, 0.331, 0.248).

# 3
First-principles (PBE) data for a geometry-optimized NaTe2Se structure, as listed in Alexandria.

The total DFT energy (no corrections) is -11.1 eV/f.u. As for the uncorrected formation energy: -5 meV per atom.

The structure belongs to space group R-3m (No. 166, hexagonal axes); the cell edges are 3.7232, 3.7232 and 30.0905 Å and the angles 90.00°, 90.00° and 120.00°. The inequivalent atoms are Na at (0.0000, 0.0000, 0.0000), Te at (0.0000, 0.0000, 0.4120) and Se at (0.0000, 0.0000, 0.5000).